No. 1
This record from the Alexandria database describes Sb5As3Pb12 after structural relaxation. The functional is PBE.

Unit cell a=18.145 b=18.145 c=18.145 alpha=90.00 beta=90.00 gamma=90.00
Space group Ia-3d (No. 230)
One atom of each set of equivalent atoms:
Sb 0.000 0.000 0.000 [16 per cell]
Sb 0.000 0.250 0.375 [24 per cell]
As 0.000 0.250 0.125 [24 per cell]
Pb 0.007 0.072 0.656 [96 per cell]

Calculated values
* magnetic moment: 0.00 μB/cell
* VASP energy: -605.970 eV/cell
* raw formation energy: 0.166 eV/atom


No. 2
This record from the Alexandria database describes SbAsPb2 after structural relaxation. The functional is PBE.

Unit cell a=6.530 b=8.327 c=4.168 alpha=90.00 beta=90.00 gamma=90.00
Space group Cmmm (No. 65)
One atom of each set of equivalent atoms:
Sb 0.000 0.000 0.000 [2 per cell]
As 0.000 0.500 0.000 [2 per cell]
Pb 0.250 0.250 0.500 [4 per cell]

Calculated values
* polymorph energy (0 for the lowest one): 0.095 eV/atom
* magnetic moment: 0.00 μB/cell
* VASP energy: -31.177 eV/cell
* raw formation energy: 0.150 eV/atom


No. 3
This record from the Alexandria database describes SbAsPb2 after structural relaxation. The functional is PBE.

Unit cell a=3.433 b=5.035 c=6.671 alpha=90.00 beta=104.63 gamma=90.00
Space group Pm (No. 6)
One atom of each set of equivalent atoms:
Sb 0.000 0.000 0.000 [1 per cell]
As 0.104 0.500 0.228 [1 per cell]
Pb 0.357 0.500 0.722 [1 per cell]
Pb 0.718 0.000 0.449 [1 per cell]

Calculated values
* polymorph energy (0 for the lowest one): 0.083 eV/atom
* magnetic moment: 0.00 μB/cell
* VASP energy: -15.634 eV/cell
* raw formation energy: 0.139 eV/atom